Record 1
# Sm2NbGe4Pt3

An optimized crystal structure of Sm2NbGe4Pt3 (PBE-GGA, Alexandria via LeMat-Bulk).

## Properties
Calculated volume in A^3/atom: 19.57
Formation energy in eV per atom: -0.8250

a = 4.2618 Å, b = 4.2618 Å, c = 10.7769 Å
α = 90.00°, β = 90.00°, γ = 90.00°
Last column: nearest neighbours and their distance in Å.
Fractional positions:
Sm1 0.0000 0.5000 0.7603  6 Pt 3.25-3.52, 8 Ge 3.27-3.35, 2 Nb 3.52
Sm2 0.5000 0.0000 0.2397  6 Pt 3.25-3.52, 8 Ge 3.27-3.35, 2 Nb 3.52
Nb1 0.5000 0.5000 0.5000  4 Ge 2.62
Pt1 0.5000 0.0000 0.8723  5 Ge 2.48-2.54
Ge1 0.5000 0.5000 0.0000  4 Pt 2.54
Pt2 0.0000 0.5000 0.1277  5 Ge 2.48-2.54
Ge2 0.5000 0.0000 0.6422  3 Pt 2.48-2.62, 2 Nb 2.62
Ge3 0.0000 0.0000 0.0000  4 Pt 2.54
Ge4 0.0000 0.5000 0.3578  3 Pt 2.48-2.62, 2 Nb 2.62
Pt3 0.0000 0.0000 0.5000  4 Ge 2.62

Record 2
# Ce3PuSc

An optimized crystal structure of Ce3PuSc (PBE-GGA, Alexandria via LeMat-Bulk).

## Properties
Calculated volume in A^3/atom: 25.40
Formation energy in eV per atom: 0.0912

a = 4.9860 Å, b = 5.4653 Å, c = 11.2586 Å
α = 109.02°, β = 90.00°, γ = 117.14°
Last column: nearest neighbours and their distance in Å.
Fractional positions:
Pu1 0.4648 0.4981 0.7614  4 Ce 2.59-2.73
Ce1 0.7081 0.9847 0.3399  2 Pu 2.73
Ce2 0.1041 0.7767 0.5328  1 Pu 2.59
Ce3 0.4470 0.4626 0.5263  1 Pu 2.59
Ce4 0.8430 0.2546 0.7192  2 Pu 2.73
Ce5 0.9586 0.4858 0.0463  1 Pu 2.64, 2 Ce 2.90
Pu2 0.0863 0.7412 0.2977  4 Ce 2.59-2.73
Sc1 0.2055 0.9795 0.8652  3 Pu 3.14-3.33, 7 Ce 3.30-3.51, 1 Sc 3.44
Sc2 0.3456 0.2598 0.1938  3 Pu 3.14-3.33, 7 Ce 3.30-3.51, 1 Sc 3.44
Ce6 0.5925 0.7535 0.0128  1 Pu 2.64, 2 Ce 2.90

- Among the records above, which one has the highest calculated volume?
  Ce3PuSc